No. 1
Here is a geometry-optimized Hf6FeN2 structure from Alexandria via LeMat-Bulk. Energies are from PBE-GGA.

Geometry as POSCAR:
```
Hf6FeN2
1.0
4.363 0.000 0.000
2.181 5.303 -0.105
2.181 2.101 6.630
N Hf Fe
2 6 1
Direct
0.185 0.718 0.912
0.815 0.282 0.088
0.307 0.296 0.090
0.340 0.754 0.566
0.693 0.704 0.910
0.980 0.837 0.203
0.660 0.246 0.434
0.020 0.163 0.797
0.000 0.500 0.500
```

Summary:
Total DFT energy (no corrections)   -10.14 eV per atom

***

No. 2
Here is a geometry-optimized Hf8Fe2N structure from Alexandria via LeMat-Bulk. Energies are from PBE-GGA.

Geometry as POSCAR:
```
Hf8Fe2N
1.0
4.256 0.000 0.000
0.000 5.557 -0.502
-2.128 -2.949 8.949
Hf N Fe
8 1 2
Direct
0.046 0.830 0.091
0.796 0.663 0.593
0.954 0.170 0.909
0.591 0.375 0.182
0.204 0.337 0.407
0.686 0.969 0.373
0.314 0.031 0.627
0.409 0.625 0.818
0.500 0.000 0.000
0.844 0.303 0.688
0.156 0.697 0.312
```

Summary:
Total DFT energy (no corrections)   -9.74 eV per atom

***

No. 3
Here is a geometry-optimized Hf4FeN2 structure from Alexandria via LeMat-Bulk. Energies are from PBE-GGA.

Geometry as POSCAR:
```
Hf4FeN2
1.0
-1.578 5.179 3.587
-5.277 -3.704 -0.781
4.652 -3.407 2.989
Hf N Fe
8 4 2
Direct
0.338 0.148 0.809
0.471 0.662 0.809
0.779 0.088 0.691
0.338 0.529 0.191
0.852 0.662 0.191
0.912 0.602 0.691
0.398 0.088 0.309
0.912 0.221 0.309
0.625 0.375 0.750
0.625 0.875 0.250
0.625 0.375 0.250
0.125 0.375 0.750
0.000 0.000 0.000
0.250 0.750 0.500
```

Summary:
Total DFT energy (no corrections)   -10.19 eV per atom

***

No. 4
Here is a geometry-optimized HfFeN2 structure from Alexandria via LeMat-Bulk. Energies are from PBE-GGA.

Geometry as POSCAR:
```
HfFeN2
1.0
-4.181 0.666 1.338
-0.861 -4.322 -0.540
-1.179 -2.672 5.012
Hf N Fe
2 4 2
Direct
0.750 0.250 0.500
0.000 0.000 0.000
0.163 0.625 0.250
0.875 0.837 0.750
0.375 0.413 0.750
0.587 0.125 0.250
0.250 0.750 0.500
0.500 0.500 0.000
```

Summary:
Total DFT energy (no corrections)   -9.45 eV per atom